First-principles (PBE) data for crystalline Nd2Al6Ni3 at its relaxed geometry, as listed in the Alexandria database.

The calculation puts the density of states at the Fermi level at 5.06 states/eV per cell. Its energy relative to the elements is -473 meV/atom. The value obtained for the volume is 201.9 Å³ per cell.

The space group is P-62m (No. 189) and the conventional cell measures 7.5471, 7.5471 and 4.0923 Å, with angles of 90.00, 90.00 and 120.00 degrees. The asymmetric unit holds Nd at (0.3333, 0.6667, 0.0000), Al at (0.0000, 0.2987, 0.5000), Al at (0.0000, 0.7975, 0.0000) and Ni at (0.0000, 0.6331, 0.5000).

---

First-principles (PBE) data for crystalline NaLi2NdP2 at its relaxed geometry, as listed in the Alexandria database.

Its energy relative to the elements is -895 meV/atom. The value obtained for the volume is 111.8 Å³ per cell.

The space group is P-3m1 (No. 164) and the conventional cell measures 4.2744, 4.2744 and 7.0676 Å, with angles of 90.00, 90.00 and 120.00 degrees. The asymmetric unit holds Na at (0.0000, 0.0000, 0.0000), Li at (0.3333, 0.6667, 0.1673), Nd at (0.0000, 0.0000, 0.5000) and P at (0.3333, 0.6667, 0.7457).

---

First-principles (PBE) data for crystalline InGaAg4 at its relaxed geometry, as listed in the Alexandria database.

The excess energy over the best structure of this formula in the dataset comes out at 31 meV per atom. The calculation puts the density of states at the Fermi level at 3.86 states/eV per cell. Its energy relative to the elements is 33 meV/atom. The value obtained for the volume is 231.2 Å³ per cell.

The space group is C2/m (No. 12) and the conventional cell measures 5.4034, 7.9556 and 5.9997 Å, with angles of 90.00, 116.32 and 90.00 degrees. The asymmetric unit holds In at (0.0000, 0.0000, 0.0000), Ga at (0.0000, 0.0000, 0.5000) and Ag at (0.0221, 0.3165, 0.2600).

---

First-principles (PBE) data for crystalline Pm3Nd3Sm at its relaxed geometry, as listed in the Alexandria database.

The excess energy over the best structure of this formula in the dataset comes out at 0 meV per atom. The calculation puts the density of states at the Fermi level at 24.29 states/eV per cell. Its energy relative to the elements is 29 meV/atom. The value obtained for the volume is 490.7 Å³ per cell.

The space group is P6_3/m (No. 176) and the conventional cell measures 9.7998, 9.7998 and 5.8994 Å, with angles of 90.00, 90.00 and 120.00 degrees. The asymmetric unit holds Pm at (0.0464, 0.2375, 0.2500), Nd at (0.0950, 0.4753, 0.7500) and Sm at (0.3333, 0.6667, 0.2500).

---

First-principles (PBE) data for crystalline CsNb at its relaxed geometry, as listed in the Alexandria database.

The excess energy over the best structure of this formula in the dataset comes out at 429 meV per atom. The calculation puts the density of states at the Fermi level at 11.81 states/eV per cell. Its energy relative to the elements is 1329 meV/atom. The value obtained for the volume is 589.3 Å³ per cell.

The space group is P6_3/m (No. 176) and the conventional cell measures 9.9422, 9.9422 and 6.8835 Å, with angles of 90.00, 90.00 and 120.00 degrees. The asymmetric unit holds Cs at (0.1487, 0.7844, 0.2500) and Nb at (0.1814, 0.6368, 0.7500).

---

First-principles (PBE) data for crystalline LaHoS3 at its relaxed geometry, as listed in the Alexandria database.

The calculation puts the formation energy from raw total energies at -2.1444 eV/atom. The excess energy over the best structure of this formula in the dataset comes out at 0 meV per atom. The value obtained for the volume is 466.2 Å³ per cell.

The space group is Pnma (No. 62) and the conventional cell measures 7.4670, 4.0510 and 15.4118 Å, with angles of 90.00, 90.00 and 90.00 degrees. The asymmetric unit holds La at (0.1424, 0.2500, 0.1998), Ho at (0.2287, 0.7500, 0.4564), S at (0.0128, 0.2500, 0.3965), S at (0.1272, 0.7500, 0.0598) and S at (0.1517, 0.2500, 0.7853).

---

First-principles (PBE) data for crystalline Pu2Th3Sn3 at its relaxed geometry, as listed in the Alexandria database.

The calculation puts the density of states at the Fermi level at 39.54 states/eV per cell. Its energy relative to the elements is -402 meV/atom. The value obtained for the volume is 470.6 Å³ per cell.

The space group is P6_3/mcm (No. 193) and the conventional cell measures 9.4088, 9.4088 and 6.1387 Å, with angles of 90.00, 90.00 and 120.00 degrees. The asymmetric unit holds Pu at (0.3333, 0.6667, 0.0000), Th at (0.0000, 0.2495, 0.2500) and Sn at (0.0000, 0.3917, 0.7500).

---

First-principles (PBE) data for crystalline Cs6Sc3I14 at its relaxed geometry, as listed in the Alexandria database.

The calculation puts the formation energy from raw total energies at -1.3718 eV/atom. The calculation puts the density of states at the Fermi level at 10.61 states/eV per cell. The value obtained for the volume is 1252.2 Å³ per cell.

The space group is P3 (No. 143) and the conventional cell measures 13.8837, 13.8837 and 7.5014 Å, with angles of 90.00, 90.00 and 120.00 degrees. The asymmetric unit holds Cs at (0.0265, 0.5681, 0.0000), Cs at (0.3086, 0.1022, 0.4915), Sc at (0.0000, 0.0000, 0.9168), Sc at (0.3333, 0.6667, 0.4263), Sc at (0.6667, 0.3333, 0.7560), I at (0.0000, 0.0000, 0.2866), I at (0.0754, 0.8610, 0.7935), I at (0.1916, 0.4528, 0.3008), I at (0.3333, 0.6667, 0.7960), I at (0.4651, 0.2013, 0.9752) and I at (0.5362, 0.4042, 0.5352).